No. 1
First-principles (PBE) data for CoAsS2 after structural relaxation, as listed in Alexandria via LeMat-Bulk. Values from VASP.

Values from the calculation:
- E (eV per atom) = -5.142

Cell and atoms, written as Quantum ESPRESSO input:
```
&SYSTEM
  ibrav = 0, nat = 4, ntyp = 3
/
ATOMIC_SPECIES
As 74.92 As.upf
Co 58.93 Co.upf
S 32.06 S.upf
CELL_PARAMETERS angstrom
1.9083 0.0000 7.3736
-0.9541 1.6526 7.3736
-0.9541 -1.6526 7.3736
ATOMIC_POSITIONS crystal
As 0.0000 0.0000 0.0000
Co 0.5000 0.5000 0.5000
S 0.8855 0.8855 0.8855
S 0.1145 0.1145 0.1145
```


No. 2
First-principles (PBE) data for CoAsS after structural relaxation, as listed in Alexandria via LeMat-Bulk. Values from VASP.

Values from the calculation:
- E (eV per atom) = -5.447
- polymorph energy (0 for the lowest one) (eV per atom) = 0.292

Cell and atoms, written as Quantum ESPRESSO input:
```
&SYSTEM
  ibrav = 0, nat = 12, ntyp = 3
/
ATOMIC_SPECIES
Co 58.93 Co.upf
As 74.92 As.upf
S 32.06 S.upf
CELL_PARAMETERS angstrom
-4.6541 1.0928 -0.7964
-1.7148 -5.6941 2.2079
-0.4940 2.7104 6.6062
ATOMIC_POSITIONS crystal
Co 0.0172 0.5537 0.5755
Co 0.9828 0.4463 0.0755
Co 0.4828 0.5537 0.0755
Co 0.5172 0.4463 0.5755
As 0.6838 0.2933 0.8580
As 0.3162 0.7067 0.3580
As 0.1838 0.7067 0.8580
As 0.8162 0.2933 0.3580
S 0.8225 0.7697 0.0785
S 0.6775 0.7697 0.5785
S 0.3225 0.2303 0.0785
S 0.1775 0.2303 0.5785
```


No. 3
First-principles (PBE) data for Sc2CoAsS after structural relaxation, as listed in Alexandria via LeMat-Bulk. Values from VASP.

Values from the calculation:
- E (eV per atom) = -6.272

Cell and atoms, written as Quantum ESPRESSO input:
```
&SYSTEM
  ibrav = 0, nat = 5, ntyp = 4
/
ATOMIC_SPECIES
Sc 44.96 Sc.upf
As 74.92 As.upf
Co 58.93 Co.upf
S 32.06 S.upf
CELL_PARAMETERS angstrom
-1.0940 -3.8329 2.9697
-1.6379 -1.8743 -3.0225
4.3803 -2.0868 -1.0797
ATOMIC_POSITIONS crystal
Sc 0.0000 0.0000 0.5000
Sc 0.5000 0.0000 0.0000
As 0.5000 0.5000 0.5000
Co 0.0000 0.0000 0.0000
S 0.0000 0.5000 0.0000
```


No. 4
First-principles (PBE) data for CoAsSe2S after structural relaxation, as listed in Alexandria via LeMat-Bulk. Values from VASP.

Values from the calculation:
- E (eV per atom) = -3.984
- polymorph energy (0 for the lowest one) (eV per atom) = 0.000

Cell and atoms, written as Quantum ESPRESSO input:
```
&SYSTEM
  ibrav = 0, nat = 5, ntyp = 4
/
ATOMIC_SPECIES
As 74.92 As.upf
Co 58.93 Co.upf
S 32.06 S.upf
Se 78.96 Se.upf
CELL_PARAMETERS angstrom
-4.3614 -1.0130 1.2883
0.7095 -4.4686 -1.1117
1.4327 -0.8190 4.2064
ATOMIC_POSITIONS crystal
As 0.0000 0.0000 0.5000
Co 0.0000 0.0000 0.0000
S 0.5000 0.5000 0.5000
Se 0.0000 0.5000 0.0000
Se 0.5000 0.0000 0.0000
```